Li4In2Sn3 | PBE-GGA | relaxed

## Properties
Density (Mg/m³): 5.18
Magnetization (Bohr magnetons per cell): 0.0
Energy of formation (eV per atom): -0.244

a b c (Å): 4.4719 5.4577 9.2585
angles (deg): 74.00 89.84 65.83
Element x y z (fractional)
Li (0.0006, 0.4984, 0.3261)
Li (0.3308, 0.8364, 0.1090)
Li (0.6692, 0.1636, 0.8910)
Li (0.9994, 0.5016, 0.6739)
In (0.3282, 0.8435, 0.7868)
In (0.6718, 0.1565, 0.2132)
Sn (0.0000, 0.5000, 0.0000)
Sn (0.3399, 0.8155, 0.4428)
Sn (0.6601, 0.1845, 0.5572)

=====

LiIn6Sn2 | PBE-GGA | relaxed

## Properties
Density (Mg/m³): 5.99
Magnetization (Bohr magnetons per cell): 0.0
Energy of formation (eV per atom): 0.014
Polymorph energy (0 for the lowest one) (eV per atom): 0.045

a b c (Å): 8.7346 8.7346 4.6752
angles (deg): 105.32 105.32 49.29
Element x y z (fractional)
Li (0.0000, 0.0000, 0.0000)
In (0.0721, 0.6164, 0.8427)
In (0.2457, 0.7543, 0.5000)
In (0.3836, 0.9279, 0.1573)
In (0.6164, 0.0721, 0.8427)
In (0.7543, 0.2457, 0.5000)
In (0.9279, 0.3836, 0.1573)
Sn (0.3300, 0.3300, 0.3280)
Sn (0.6700, 0.6700, 0.6720)

=====

LiIn3Sn3 | PBE-GGA | relaxed

## Properties
Density (Mg/m³): 5.39
Magnetization (Bohr magnetons per cell): 0.0
Energy of formation (eV per atom): 0.074
Polymorph energy (0 for the lowest one) (eV per atom): 0.000

a b c (Å): 12.6052 12.6052 3.1694
angles (deg): 90.00 90.00 120.00
Element x y z (fractional)
Li (0.3333, 0.6667, 0.2500)
Li (0.6667, 0.3333, 0.7500)
In (0.0025, 0.7862, 0.7500)
In (0.2138, 0.2164, 0.7500)
In (0.2164, 0.0025, 0.2500)
In (0.7836, 0.9975, 0.7500)
In (0.7862, 0.7836, 0.2500)
In (0.9975, 0.2138, 0.2500)
Sn (0.0938, 0.4792, 0.2500)
Sn (0.3855, 0.9062, 0.2500)
Sn (0.4792, 0.3855, 0.7500)
Sn (0.5208, 0.6145, 0.2500)
Sn (0.6145, 0.0938, 0.7500)
Sn (0.9062, 0.5208, 0.7500)

=====

LiIn3Sn | PBE-GGA | relaxed

## Properties
Density (Mg/m³): 6.24
Magnetization (Bohr magnetons per cell): 0.0
Energy of formation (eV per atom): -0.084
Polymorph energy (0 for the lowest one) (eV per atom): 0.000

a b c (Å): 6.9976 5.6186 13.2701
angles (deg): 90.00 106.39 90.00
Element x y z (fractional)
Li (0.0639, 0.0479, 0.2007)
Li (0.0639, 0.4521, 0.7007)
Li (0.9361, 0.5479, 0.2993)
Li (0.9361, 0.9521, 0.7993)
In (0.2355, 0.1117, 0.0080)
In (0.2355, 0.3883, 0.5080)
In (0.3370, 0.6419, 0.9072)
In (0.3370, 0.8581, 0.4072)
In (0.4605, 0.1737, 0.8072)
In (0.4605, 0.3263, 0.3072)
In (0.5395, 0.6737, 0.6928)
In (0.5395, 0.8263, 0.1928)
In (0.6630, 0.1419, 0.5928)
In (0.6630, 0.3581, 0.0928)
In (0.7645, 0.6117, 0.4920)
In (0.7645, 0.8883, 0.9920)
Sn (0.1160, 0.5517, 0.1204)
Sn (0.1160, 0.9483, 0.6204)
Sn (0.8840, 0.0517, 0.3796)
Sn (0.8840, 0.4483, 0.8796)

=====

Number 1: Fermi-level density of states 0.343 states/eV per atom. Number 2: Fermi-level density of states 0.425 states/eV per atom. Number 3: Fermi-level density of states 0.450 states/eV per atom. Number 4: Fermi-level density of states 0.411 states/eV per atom.